Material: AgBOs2
Method: DFT, PBE
State: relaxed

Cell and atoms, written as CIF:
```
data_AgBOs2
_space_group_name_H-M_alt 'I -4 2 d'
_space_group_IT_number 122
_space_group_name_Hall 'I -4 2bw'
_cell_length_a 4.4179
_cell_length_b 4.4179
_cell_length_c 14.1996
_cell_angle_alpha 90.00
_cell_angle_beta 90.00
_cell_angle_gamma 90.00
loop_
_atom_site_label
_atom_site_type_symbol
_atom_site_fract_x
_atom_site_fract_y
_atom_site_fract_z
_atom_site_occupancy
Ag1 Ag 0.0000 0.0000 0.0000 1
B1 B 0.0000 0.0000 0.5000 1
Os1 Os 0.1110 0.2500 0.6250 1
```

Material: AgB3Os
Method: DFT, PBE
State: relaxed

Cell and atoms, written as CIF:
```
data_AgB3Os
_space_group_name_H-M_alt 'P m -3 m'
_space_group_IT_number 221
_space_group_name_Hall '-P 4 2 3'
_cell_length_a 4.1176
_cell_length_b 4.1176
_cell_length_c 4.1176
_cell_angle_alpha 90.00
_cell_angle_beta 90.00
_cell_angle_gamma 90.00
loop_
_atom_site_label
_atom_site_type_symbol
_atom_site_fract_x
_atom_site_fract_y
_atom_site_fract_z
_atom_site_occupancy
Ag1 Ag 0.0000 0.0000 0.0000 1
B1 B 0.0000 0.5000 0.5000 1
Os1 Os 0.5000 0.5000 0.5000 1
```

Material: Ag2BOs
Method: DFT, PBE
State: relaxed

Cell and atoms, written as CIF:
```
data_Ag2BOs
_space_group_name_H-M_alt 'I -4 2 d'
_space_group_IT_number 122
_space_group_name_Hall 'I -4 2bw'
_cell_length_a 3.4960
_cell_length_b 3.4960
_cell_length_c 19.9970
_cell_angle_alpha 90.00
_cell_angle_beta 90.00
_cell_angle_gamma 90.00
loop_
_atom_site_label
_atom_site_type_symbol
_atom_site_fract_x
_atom_site_fract_y
_atom_site_fract_z
_atom_site_occupancy
Ag1 Ag 0.2483 0.2500 0.1250 1
B1 B 0.0000 0.0000 0.0000 1
Os1 Os 0.0000 0.0000 0.5000 1
```

Material: AgB2OsRh
Method: DFT, PBE
State: relaxed

Cell and atoms, written as CIF:
```
data_AgB2OsRh
_space_group_name_H-M_alt 'P 4/m m m'
_space_group_IT_number 123
_space_group_name_Hall '-P 4 2'
_cell_length_a 3.9753
_cell_length_b 3.9753
_cell_length_c 5.1426
_cell_angle_alpha 90.00
_cell_angle_beta 90.00
_cell_angle_gamma 90.00
loop_
_atom_site_label
_atom_site_type_symbol
_atom_site_fract_x
_atom_site_fract_y
_atom_site_fract_z
_atom_site_occupancy
Ag1 Ag 0.0000 0.0000 0.0000 1
B1 B 0.0000 0.5000 0.5000 1
Os1 Os 0.0000 0.0000 0.5000 1
Rh1 Rh 0.5000 0.5000 0.0000 1
```

Table of total DFT energy (no corrections) (eV/atom), in record order: -6.8044; -5.9068; -4.6790; -5.6601
Table of formation energy from the elements (eV per formula unit), in record order: 4.771; 4.579; 4.894; 6.487